Record 1
Density functional theory data (GGA-PBE) for an optimized crystal structure of KSi2Te.

Cell lengths 3.815, 3.815, 7.200 Å; angles 90.00, 90.00, 90.00 degrees
Element x y z (fractional)
K  0.000  0.000  0.000
Si  0.000  0.000  0.445
Si  0.500  0.500  0.336
Te  0.500  0.500  0.686

=====

Record 2
Density functional theory data (GGA-PBE) for an optimized crystal structure of KSi2Te.

Cell lengths 6.095, 6.095, 6.095 Å; angles 138.21, 138.21, 60.59 degrees
Element x y z (fractional)
K  0.000  0.000  0.000
Si  0.250  0.750  0.500
Si  0.750  0.250  0.500
Te  0.500  0.500  0.000

=====

Record 3
Density functional theory data (GGA-PBE) for an optimized crystal structure of KSi2Te.

Cell lengths 6.149, 6.149, 6.149 Å; angles 145.64, 126.84, 64.85 degrees
Element x y z (fractional)
K  0.000  0.000  0.000
Si  0.288  0.788  0.500
Si  0.712  0.212  0.500
Te  0.500  0.500  0.000

=====

Record 4
Density functional theory data (GGA-PBE) for an optimized crystal structure of KSi2Te.

Cell lengths 6.463, 6.463, 3.053 Å; angles 102.11, 102.11, 121.07 degrees
Element x y z (fractional)
K  0.000  0.000  0.000
Si  0.000  0.500  0.000
Si  0.500  0.000  0.000
Te  0.500  0.500  0.000

=====

Computed formation energy (no corrections), in the same sequence as the records: 0.9; 2.1; 1.6; 1.9 eV per formula unit.